8
Lattice="-5.2093 4.5534 -4.8816 -6.5241 -4.7841 2.4997 -6.3654 1.7539 1.0848" Properties=species:S:1:pos:R:3 comment="CaZr2In, optimized geometry, DFT PBE-GGA" ef_ev_per_atom=0.3993 pbc="T T T"
Ca -5.8667 -0.1153 -1.1910
Ca -9.3781 -1.5727 1.1968
Zr -5.7974 2.8041 -2.5935
Zr -6.1854 -2.1001 1.3495
Zr -9.0054 1.3526 -0.1442
Zr -15.2095 0.9899 -1.2059
In 0.0000 0.0000 0.0000
In -8.7207 3.0960 -2.4939